Compound: Pr9Tl2Pb
Source: Alexandria
Functional: GGA-PBE
Structure: relaxed

D(E_F) = 1.619 states/eV per atom
ΔE_f = -0.26 eV/atom
Symmetry = P4/mmm

Cell and atoms, written as extended XYZ:
```
12
Lattice="5.036 0.000 0.000 0.000 5.036 0.000 0.000 0.000 15.093" Properties=species:S:1:pos:R:3 pbc="T T T"
Pr 2.518 2.518 0.000
Pr 2.518 2.518 5.041
Pr 2.518 2.518 10.052
Pr 2.518 0.000 2.514
Pr 2.518 0.000 7.546
Pr 2.518 0.000 12.579
Pr 0.000 2.518 2.514
Pr 0.000 2.518 7.546
Pr 0.000 2.518 12.579
Tl 0.000 0.000 5.038
Tl 0.000 0.000 10.055
Pb 0.000 0.000 0.000
```


Compound: VTc2Ni
Source: Alexandria
Functional: GGA-PBE
Structure: relaxed

D(E_F) = 1.806 states/eV per atom
E above lowest polymorph = 159.1 meV per atom
ΔE_f = 0.04 eV/atom
Symmetry = Fm-3m

Cell and atoms, written as extended XYZ:
```
4
Lattice="0.805 -3.951 1.283 -2.704 -1.977 2.585 -2.343 -3.213 -1.446" Properties=species:S:1:pos:R:3 pbc="T T T"
Ni -2.121 -4.570 1.211
Tc -1.060 -2.285 0.606
Tc -3.181 -6.855 1.817
V 0.000 0.000 0.000
```


Record order is preserved below.
Calculated density: 8.17 9.48 g/cm3